1.
This record from Alexandria via LeMat-Bulk describes ScMnBi2Se at its PBEsol-relaxed geometry. The functional is meta-GGA SCAN.

Calculated values
Calculated density ... 6.508 g cm⁻³
Crystal system ... tetragonal
Uncorrected formation energy ... 156 meV/atom
V ... 30.46 Å³ per atom
Electronic total energy ... -3.072 Ry per atom

Cell and atoms, written as POSCAR:
```
ScMnBi2Se
1.0
-3.8004 -2.4654 -1.9366
0.4583 -3.8422 3.9920
-3.5081 2.8993 3.1932
Se Bi Sc Mn
1 2 1 1
Direct
0.5000 0.0000 0.0000
0.0000 0.0000 0.5000
0.0000 0.5000 0.0000
0.0000 0.0000 0.0000
0.5000 0.5000 0.5000
```

2.
This record from Alexandria via LeMat-Bulk describes Li2MgIn at its PBEsol-relaxed geometry. The functional is meta-GGA SCAN.

Calculated values
Calculated density ... 3.433 g cm⁻³
Crystal system ... tetragonal
V ... 18.50 Å³ per atom
E_form ... -0.27 eV/atom
Electronic total energy ... -0.812 Ry per atom

Cell and atoms, written as POSCAR:
```
Li2MgIn
1.0
4.6526 0.0000 0.0000
0.0000 3.4191 0.0000
0.0000 0.0000 4.6526
In Li Mg
1 2 1
Direct
0.0000 0.5000 0.5000
0.5000 0.0000 0.5000
0.0000 0.0000 0.0000
0.5000 0.5000 0.0000
```

3.
This record from Alexandria via LeMat-Bulk describes Be2TlCo at its PBEsol-relaxed geometry. The functional is meta-GGA SCAN.

Calculated values
Calculated density ... 9.735 g cm⁻³
Crystal system ... tetragonal
V ... 12.00 Å³ per atom
E_form ... 0.40 eV/atom
Energy relative to the lowest polymorph listed for this composition ... 0.039 eV/atom
Electronic total energy ... -1.778 Ry per atom

Cell and atoms, written as POSCAR:
```
Be2TlCo
1.0
-0.9295 3.0140 -1.6240
-3.4177 -0.7177 0.6242
2.3904 0.7092 3.8228
Be Co Tl
2 1 1
Direct
0.0000 0.0000 0.0000
0.7500 0.2500 0.5000
0.5000 0.5000 0.0000
0.2500 0.7500 0.5000
```